Crystalline Mg2BAsF at its relaxed geometry, computed with PBE-GGA.

Calculated values
- Space-group type: P4/mmm
- E_form (uncorrected): 0.61 eV per formula unit
- Calculated total energy: -15.78 eV for the cell shown

abc: 4.0945 4.8360 4.0945
angles: 90.00 90.00 90.00
With the nearest neighbours (Å) after each atom.
Fractional coordinates of all 5 atoms:
As: 0.0000 0.5000 0.0000  2 F 2.42
B: 0.5000 0.5000 0.5000  4 As 2.90, 8 Mg 3.17
Mg: 0.0000 0.0000 0.5000  2 F 2.05
Mg: 0.5000 0.0000 0.0000  2 F 2.05
F: 0.0000 0.0000 0.0000  4 Mg 2.05